A plane-wave DFT calculation with PBE was carried out for a relaxed structure of Cd7Ag3Hg2.

Output
For the energy relative to the elements, the calculation gives 32 meV/atom. For the density of states at the Fermi level, the calculation gives 0.250 states/eV per atom. The magnetization is 0.00 μB per formula unit.

a = 4.835 Å, b = 3.025 Å, c = 18.181 Å
α = 90.00°, β = 96.33°, γ = 90.00°
Space group P2/m (No. 10)
Asymmetric unit:
Cd 0.000 0.000 0.000 [1 per cell]
Cd 0.070 0.500 0.203 [2 per cell]
Cd 0.268 0.500 0.543 [2 per cell]
Cd 0.460 0.000 0.862 [2 per cell]
Ag 0.187 0.000 0.389 [2 per cell]
Ag 0.500 0.500 0.000 [1 per cell]
Hg 0.388 0.500 0.701 [2 per cell]


A plane-wave DFT calculation with PBE was carried out for a relaxed structure of Cd7Ag5Hg.

Output
For the energy relative to the elements, the calculation gives -5 meV/atom. For the density of states at the Fermi level, the calculation gives 0.251 states/eV per atom. The magnetization is 0.00 μB per formula unit.

a = 5.692 Å, b = 9.858 Å, c = 9.934 Å
α = 90.00°, β = 90.00°, γ = 90.00°
Space group Imm2 (No. 44)
Asymmetric unit:
Cd 0.000 0.000 0.000 [2 per cell]
Cd 0.000 0.000 0.314 [2 per cell]
Cd 0.000 0.327 0.649 [4 per cell]
Cd 0.000 0.328 0.141 [4 per cell]
Cd 0.000 0.500 0.391 [2 per cell]
Ag 0.000 0.500 0.893 [2 per cell]
Ag 0.250 0.249 0.896 [8 per cell]
Hg 0.000 0.000 0.646 [2 per cell]


A plane-wave DFT calculation with PBE was carried out for a relaxed structure of Cd3Ag7Hg2.

Output
For the energy relative to the elements, the calculation gives 54 meV/atom. For the density of states at the Fermi level, the calculation gives 0.241 states/eV per atom. The magnetization is 0.00 μB per formula unit.

a = 5.179 Å, b = 5.671 Å, c = 10.090 Å
α = 76.67°, β = 75.26°, γ = 64.03°
Space group P-1 (No. 2)
Asymmetric unit:
Cd 0.000 0.000 0.000 [1 per cell]
Cd 0.353 0.710 0.388 [2 per cell]
Ag 0.000 0.500 0.000 [1 per cell]
Ag 0.061 0.332 0.744 [2 per cell]
Ag 0.167 0.806 0.694 [2 per cell]
Ag 0.239 0.229 0.463 [2 per cell]
Hg 0.424 0.168 0.160 [2 per cell]


A plane-wave DFT calculation with PBE was carried out for a relaxed structure of Cd3Ag2Hg.

Output
For the energy relative to the elements, the calculation gives -2 meV/atom. For the density of states at the Fermi level, the calculation gives 0.214 states/eV per atom. The magnetization is 0.00 μB per formula unit.

a = 14.949 Å, b = 6.108 Å, c = 5.405 Å
α = 90.00°, β = 91.66°, γ = 90.00°
Space group C2/c (No. 15)
Asymmetric unit:
Cd 0.000 0.123 0.250 [4 per cell]
Cd 0.171 0.374 0.097 [8 per cell]
Ag 0.167 0.121 0.577 [8 per cell]
Hg 0.000 0.368 0.750 [4 per cell]


A plane-wave DFT calculation with PBE was carried out for a relaxed structure of Cd5AgHg8.

Output
For the energy relative to the elements, the calculation gives 46 meV/atom. For the density of states at the Fermi level, the calculation gives 0.342 states/eV per atom. The magnetization is 0.00 μB per formula unit.

a = 8.870 Å, b = 8.870 Å, c = 8.895 Å
α = 90.00°, β = 90.00°, γ = 90.00°
Space group I-4 (No. 82)
Asymmetric unit:
Cd 0.000 0.000 0.000 [2 per cell]
Cd 0.117 0.260 0.353 [8 per cell]
Ag 0.000 0.500 0.750 [2 per cell]
Hg 0.074 0.178 0.690 [8 per cell]
Hg 0.081 0.329 0.023 [8 per cell]


A plane-wave DFT calculation with PBE was carried out for a relaxed structure of Cd3AgHg2.

Output
For the energy relative to the elements, the calculation gives 24 meV/atom. For the density of states at the Fermi level, the calculation gives 0.332 states/eV per atom. The magnetization is 0.00 μB per formula unit.

a = 5.483 Å, b = 9.166 Å, c = 5.265 Å
α = 90.00°, β = 90.00°, γ = 90.00°
Space group Pmmn (No. 59, origin choice 2)
Asymmetric unit:
Cd 0.250 0.088 0.087 [4 per cell]
Cd 0.250 0.750 0.098 [2 per cell]
Ag 0.250 0.250 0.590 [2 per cell]
Hg 0.250 0.579 0.591 [4 per cell]


Look up the energy relative to the elements of the fourth one. -2 meV/atom